No. 1
First-principles (PBE) data for a relaxed structure of TbSmGe2Ir, as listed in OQMD via LeMat-Bulk. Values from VASP.

```
&SYSTEM
  ibrav = 0, nat = 10, ntyp = 4
/
ATOMIC_SPECIES
Tb 158.93 Tb.upf
Sm 150.36 Sm.upf
Ge 72.64 Ge.upf
Ir 192.22 Ir.upf
CELL_PARAMETERS angstrom
5.3301 -2.1686 0.0000
5.3301 2.1686 0.0000
-4.7344 0.0000 9.3079
ATOMIC_POSITIONS crystal
Tb 0.0094 0.0094 0.3316
Tb 0.9906 0.9906 0.6684
Sm 0.1913 0.1913 0.1180
Sm 0.8087 0.8087 0.8820
Ge 0.3522 0.3522 0.4479
Ge 0.4829 0.4829 0.1179
Ge 0.5171 0.5171 0.8821
Ge 0.6478 0.6478 0.5521
Ir 0.2704 0.2704 0.6614
Ir 0.7296 0.7296 0.3386
```

Calculated values
Its symmetry is C2/m (12). The energy above the most stable polymorph in this dataset comes out at 0.000 eV per atom. Its total moment is 0.005 μB per cell.

---

No. 2
First-principles (PBE) data for a relaxed structure of TbSmGe2Ir, as listed in OQMD via LeMat-Bulk. Values from VASP.

```
&SYSTEM
  ibrav = 0, nat = 10, ntyp = 4
/
ATOMIC_SPECIES
Tb 158.93 Tb.upf
Sm 150.36 Sm.upf
Ge 72.64 Ge.upf
Ir 192.22 Ir.upf
CELL_PARAMETERS angstrom
5.3500 -2.1633 0.0000
5.3500 2.1633 0.0000
-4.7871 0.0000 9.2928
ATOMIC_POSITIONS crystal
Tb 0.1893 0.1893 0.1185
Tb 0.8107 0.8107 0.8815
Sm 0.0072 0.0072 0.3286
Sm 0.9928 0.9928 0.6714
Ge 0.3500 0.3500 0.4458
Ge 0.4813 0.4813 0.1142
Ge 0.5187 0.5187 0.8858
Ge 0.6500 0.6500 0.5542
Ir 0.2723 0.2723 0.6662
Ir 0.7277 0.7277 0.3338
```

Calculated values
Its symmetry is C2/m (12). The energy above the most stable polymorph in this dataset comes out at 0.004 eV per atom. Its total moment is 0.007 μB per cell.

---

No. 3
First-principles (PBE) data for a relaxed structure of SmTmGe2Ir, as listed in OQMD via LeMat-Bulk. Values from VASP.

```
&SYSTEM
  ibrav = 0, nat = 10, ntyp = 4
/
ATOMIC_SPECIES
Sm 150.36 Sm.upf
Tm 168.93 Tm.upf
Ge 72.64 Ge.upf
Ir 192.22 Ir.upf
CELL_PARAMETERS angstrom
5.2627 -2.1624 0.0000
5.2627 2.1624 0.0000
-4.6458 0.0000 9.2191
ATOMIC_POSITIONS crystal
Sm 0.1916 0.1916 0.1182
Sm 0.8084 0.8084 0.8818
Tm 0.0105 0.0105 0.3329
Tm 0.9895 0.9895 0.6671
Ge 0.3549 0.3549 0.4481
Ge 0.4824 0.4824 0.1196
Ge 0.5176 0.5176 0.8804
Ge 0.6451 0.6451 0.5519
Ir 0.2693 0.2693 0.6590
Ir 0.7307 0.7307 0.3410
```

Calculated values
Its symmetry is C2/m (12). The energy above the most stable polymorph in this dataset comes out at 0.000 eV per atom. Its total moment is 0.008 μB per cell.

---

No. 4
First-principles (PBE) data for a relaxed structure of SmTmGe2Ir, as listed in OQMD via LeMat-Bulk. Values from VASP.

```
&SYSTEM
  ibrav = 0, nat = 10, ntyp = 4
/
ATOMIC_SPECIES
Sm 150.36 Sm.upf
Tm 168.93 Tm.upf
Ge 72.64 Ge.upf
Ir 192.22 Ir.upf
CELL_PARAMETERS angstrom
5.3114 -2.1517 0.0000
5.3114 2.1517 0.0000
-4.7619 0.0000 9.2519
ATOMIC_POSITIONS crystal
Sm 0.0062 0.0062 0.3272
Sm 0.9938 0.9938 0.6728
Tm 0.1879 0.1879 0.1189
Tm 0.8121 0.8121 0.8811
Ge 0.3502 0.3502 0.4454
Ge 0.4783 0.4783 0.1123
Ge 0.5217 0.5217 0.8877
Ge 0.6498 0.6498 0.5546
Ir 0.2736 0.2736 0.6690
Ir 0.7264 0.7264 0.3310
```

Calculated values
Its symmetry is C2/m (12). The energy above the most stable polymorph in this dataset comes out at 0.007 eV per atom. Its total moment is 0.003 μB per cell.

---

No. 5
First-principles (PBE) data for a relaxed structure of SmYGe2Ir, as listed in OQMD via LeMat-Bulk. Values from VASP.

```
&SYSTEM
  ibrav = 0, nat = 10, ntyp = 4
/
ATOMIC_SPECIES
Sm 150.36 Sm.upf
Y 88.91 Y.upf
Ge 72.64 Ge.upf
Ir 192.22 Ir.upf
CELL_PARAMETERS angstrom
5.3344 -2.1631 0.0000
5.3344 2.1631 0.0000
-4.7848 0.0000 9.2722
ATOMIC_POSITIONS crystal
Sm 0.0070 0.0070 0.3288
Sm 0.9930 0.9930 0.6712
Y 0.1887 0.1887 0.1175
Y 0.8113 0.8113 0.8825
Ge 0.3498 0.3498 0.4453
Ge 0.4808 0.4808 0.1146
Ge 0.5192 0.5192 0.8854
Ge 0.6502 0.6502 0.5547
Ir 0.2726 0.2726 0.6654
Ir 0.7274 0.7274 0.3346
```

Calculated values
Its symmetry is C2/m (12). Its total moment is 0.007 μB per cell.

---

No. 6
First-principles (PBE) data for a relaxed structure of SmYGe2Ir, as listed in OQMD via LeMat-Bulk. Values from VASP.

```
&SYSTEM
  ibrav = 0, nat = 10, ntyp = 4
/
ATOMIC_SPECIES
Sm 150.36 Sm.upf
Y 88.91 Y.upf
Ge 72.64 Ge.upf
Ir 192.22 Ir.upf
CELL_PARAMETERS angstrom
5.3162 -2.1625 0.0000
5.3162 2.1625 0.0000
-4.7099 0.0000 9.2751
ATOMIC_POSITIONS crystal
Sm 0.1912 0.1912 0.1178
Sm 0.8088 0.8088 0.8822
Y 0.0091 0.0091 0.3314
Y 0.9909 0.9909 0.6686
Ge 0.3520 0.3520 0.4475
Ge 0.4825 0.4825 0.1180
Ge 0.5175 0.5175 0.8820
Ge 0.6480 0.6480 0.5525
Ir 0.2709 0.2709 0.6611
Ir 0.7291 0.7291 0.3389
```

Calculated values
Its symmetry is C2/m (12). Its total moment is 0.009 μB per cell.

---

No. 7
First-principles (PBE) data for a relaxed structure of Sn2GeIr, as listed in OQMD via LeMat-Bulk. Values from VASP.

```
&SYSTEM
  ibrav = 0, nat = 4, ntyp = 3
/
ATOMIC_SPECIES
Sn 118.71 Sn.upf
Ge 72.64 Ge.upf
Ir 192.22 Ir.upf
CELL_PARAMETERS angstrom
0.0000 3.4340 3.4340
3.4340 0.0000 3.4340
3.4340 3.4340 0.0000
ATOMIC_POSITIONS crystal
Sn 0.0000 0.0000 0.0000
Sn 0.2500 0.2500 0.2500
Ge 0.5000 0.5000 0.5000
Ir 0.7500 0.7500 0.7500
```

Calculated values
Its symmetry is F-43m (216). Its total moment is 0.002 μB per cell.

---

No. 8
First-principles (PBE) data for a relaxed structure of SnGe3Ir4, as listed in OQMD via LeMat-Bulk. Values from VASP.

```
&SYSTEM
  ibrav = 0, nat = 8, ntyp = 3
/
ATOMIC_SPECIES
Sn 118.71 Sn.upf
Ge 72.64 Ge.upf
Ir 192.22 Ir.upf
CELL_PARAMETERS angstrom
5.6419 0.0000 0.0000
0.0000 3.7434 0.0000
-0.0610 0.0000 6.4490
ATOMIC_POSITIONS crystal
Sn 0.0000 0.0000 0.0000
Ge 0.4080 0.5000 0.8322
Ge 0.4985 0.0000 0.3310
Ge 0.9059 0.5000 0.5050
Ir 0.2044 0.0000 0.6251
Ir 0.2079 0.5000 0.2266
Ir 0.6916 0.5000 0.1420
Ir 0.6944 0.0000 0.6825
```

Calculated values
Its symmetry is Pm (6). Its total moment is 0.001 μB per cell.

---

No. 9
First-principles (PBE) data for a relaxed structure of SrGeIr, as listed in OQMD via LeMat-Bulk. Values from VASP.

```
&SYSTEM
  ibrav = 0, nat = 3, ntyp = 3
/
ATOMIC_SPECIES
Sr 87.62 Sr.upf
Ge 72.64 Ge.upf
Ir 192.22 Ir.upf
CELL_PARAMETERS angstrom
0.0000 3.4093 3.4093
3.4093 0.0000 3.4093
3.4093 3.4093 0.0000
ATOMIC_POSITIONS crystal
Sr 0.0000 0.0000 0.0000
Ge 0.7500 0.7500 0.7500
Ir 0.2500 0.2500 0.2500
```

Calculated values
Its symmetry is F-43m (216). Its total moment is 0.018 μB per cell.

---

No. 10
First-principles (PBE) data for a relaxed structure of SrGe2Ir2, as listed in OQMD via LeMat-Bulk. Values from VASP.

```
&SYSTEM
  ibrav = 0, nat = 5, ntyp = 3
/
ATOMIC_SPECIES
Sr 87.62 Sr.upf
Ge 72.64 Ge.upf
Ir 192.22 Ir.upf
CELL_PARAMETERS angstrom
-2.1157 2.1157 5.4013
2.1157 -2.1157 5.4013
2.1157 2.1157 -5.4013
ATOMIC_POSITIONS crystal
Sr 0.0000 0.0000 0.0000
Ge 0.3705 0.3705 0.0000
Ge 0.6295 0.6295 0.0000
Ir 0.2500 0.7500 0.5000
Ir 0.7500 0.2500 0.5000
```

Calculated values
Its symmetry is I4/mmm (139). Its total moment is 0.006 μB per cell.

---

No. 11
First-principles (PBE) data for a relaxed structure of SrGeIr, as listed in OQMD via LeMat-Bulk. Values from VASP.

```
&SYSTEM
  ibrav = 0, nat = 3, ntyp = 3
/
ATOMIC_SPECIES
Sr 87.62 Sr.upf
Ge 72.64 Ge.upf
Ir 192.22 Ir.upf
CELL_PARAMETERS angstrom
0.0000 3.2956 3.2956
3.2956 0.0000 3.2956
3.2956 3.2956 0.0000
ATOMIC_POSITIONS crystal
Sr 0.0000 0.0000 0.0000
Ge 0.5000 0.5000 0.5000
Ir 0.7500 0.7500 0.7500
```

Calculated values
Its symmetry is F-43m (216). Its total moment is 0.002 μB per cell.

---

No. 12
First-principles (PBE) data for a relaxed structure of Ta2GeIr, as listed in OQMD via LeMat-Bulk. Values from VASP.

```
&SYSTEM
  ibrav = 0, nat = 4, ntyp = 3
/
ATOMIC_SPECIES
Ta 180.95 Ta.upf
Ge 72.64 Ge.upf
Ir 192.22 Ir.upf
CELL_PARAMETERS angstrom
0.0000 3.2065 3.2065
3.2065 0.0000 3.2065
3.2065 3.2065 0.0000
ATOMIC_POSITIONS crystal
Ta 0.0000 0.0000 0.0000
Ta 0.2500 0.2500 0.2500
Ge 0.5000 0.5000 0.5000
Ir 0.7500 0.7500 0.7500
```

Calculated values
Its symmetry is F-43m (216). Its total moment is 0.007 μB per cell.

---

| no. | electronic total energy (eV for the cell shown) |
| --- | --- |
| 1 | -63.884 |
| 2 | -63.847 |
| 3 | -63.552 |
| 4 | -63.483 |
| 5 | -67.586 |
| 6 | -67.597 |
| 7 | -20.261 |
| 8 | -55.407 |
| 9 | -12.517 |
| 10 | -31.875 |
| 11 | -15.209 |
| 12 | -37.033 |